# 1
Entry from Alexandria: an optimized crystal structure of La3Sm3In2 (GGA-PBE).

Lattice parameters (Å, degrees): 8.9933 8.9933 11.0222 90.00 90.00 120.00
Space group R32 (No. 155, hexagonal axes)
Asymmetric unit:
La (0.0000, 0.2525, 0.0000) x9
Sm (0.0000, 0.7550, 0.5000) x9
In (0.0000, 0.0000, 0.2520) x6

ΔH_f (0 K)   -0.214 eV per atom
Magnetization   0.221 μB per atom
ΔE to the lowest computed polymorph   0.0000 eV/atom
Final energy   -4.516 eV/atom

# 2
Entry from Alexandria: an optimized crystal structure of LaPaPtN3 (GGA-PBE).

Lattice parameters (Å, degrees): 6.886 3.510 8.343 90.00 106.12 90.00
Space group P2_1/m (No. 11)
Asymmetric unit:
La (0.064, 0.250, 0.299) x2
Pa (0.426, 0.750, 0.665) x2
Pt (0.353, 0.750, 0.018) x2
N (0.195, 0.250, 0.625) x2
N (0.265, 0.250, 0.093) x2
N (0.361, 0.750, 0.390) x2

Formation energy (no corrections)   -1.007 eV/atom
Magnetization   0.000 μB per atom
Final energy   -8.580 eV/atom

# 3
Entry from Alexandria: an optimized crystal structure of ScPd3Au6 (GGA-PBE).

Lattice parameters (Å, degrees): 8.643 4.320 9.399 90.00 96.36 90.00
Space group P2_1/m (No. 11)
Asymmetric unit:
Sc (0.062, 0.250, 0.385) x2
Pd (0.252, 0.250, 0.002) x2
Pd (0.343, 0.750, 0.805) x2
Pd (0.448, 0.250, 0.601) x2
Au (0.050, 0.750, 0.905) x2
Au (0.147, 0.250, 0.697) x2
Au (0.159, 0.750, 0.205) x2
Au (0.247, 0.750, 0.509) x2
Au (0.365, 0.250, 0.301) x2
Au (0.457, 0.750, 0.099) x2

ΔH_f (0 K)   -0.279 eV per atom
Magnetization   0.000 μB per atom
Final energy   -4.436 eV/atom